Entry from the Alexandria database: a relaxed structure of SrPmCo2O5 (GGA+U).

raw total energy	-6.577	eV per atom
DOS(E_F)	1.94	states/eV/f.u.
calculated volume	12.70	Å³ per atom
total moment	0.67	μB/atom

a = 3.9323 Å, b = 3.9323 Å, c = 7.3932 Å
α = 90.00°, β = 90.00°, γ = 90.00°
Closest atoms and distances in Å follow each position.
Space group P4/mmm (No. 123)
Unique sites:
1 Sr 0.0000 0.0000 0.0000 x1  12 O 2.78-2.95
2 Pm 0.0000 0.0000 0.5000 x1  8 O 2.47
3 Co 0.5000 0.5000 0.2525 x2  5 O 1.87-1.99
4 O 0.0000 0.5000 0.2973 x4  2 Co 1.99
5 O 0.5000 0.5000 0.0000 x1  2 Co 1.87